Record 1
Density functional theory data (PBE-GGA) for a geometry-optimized BeCrIr2 structure.

Cell lengths 4.609, 4.609, 4.306 Å; angles 73.35, 73.35, 35.13 degrees
Site moments in Bohr magnetons follow the coordinates.
Fractional coordinates of all 4 atoms:
Cr: 0.243 0.243 0.207  1.12
Be: 0.499 0.499 0.553  -0.01
Ir: 0.764 0.764 0.681  -0.04
Ir: 0.994 0.994 0.059  -0.07

Calculated values
Formation enthalpy at 0 K: -21 kJ/mol of atoms

Record 2
Density functional theory data (PBE-GGA) for a geometry-optimized CrSiTe structure.

Cell lengths 4.208, 4.208, 3.848 Å; angles 90.00, 90.00, 120.00 degrees
Site moments in Bohr magnetons follow the coordinates.
Fractional coordinates of all 3 atoms:
Si: 0.667 0.333 0.167  -0.12
Cr: 0.000 0.000 0.167  2.52
Te: 0.333 0.667 0.667  -0.08

Calculated values
Formation energy (no corrections): 0.4799 eV per atom

Number 1: energy -31.9 eV per formula unit. Number 2: energy -16.7 eV per formula unit.